# 1
First-principles (PBE) data for a relaxed structure of LaSmDyEr2, as listed in the Alexandria database.

Calculated values
Symmetry ... No. 63
ΔE_f ... 0.358 eV per atom
Crystal system ... orthorhombic

a b c (Å): 7.1409 7.1409 7.2201
angles (deg): 90.00 90.00 107.61
Positions (direct):
La1 0.2336 0.7664 0.7500
La2 0.7664 0.2336 0.2500
Sm1 0.5004 0.4996 0.2500
Sm2 0.4996 0.5004 0.7500
Dy1 0.2181 0.7819 0.2500
Dy2 0.7819 0.2181 0.7500
Er1 0.1879 0.1879 0.0000
Er2 0.1879 0.1879 0.5000
Er3 0.8121 0.8121 0.0000
Er4 0.8121 0.8121 0.5000

# 2
First-principles (PBE) data for a relaxed structure of LiHfAlZn, as listed in the Alexandria database.

Calculated values
Symmetry ... No. 216
ΔE_f ... -0.131 eV per atom
Crystal system ... cubic

a b c (Å): 4.5978 4.5978 4.5978
angles (deg): 60.00 60.00 60.00
Positions (direct):
Li1 0.0000 0.0000 0.0000
Hf1 0.5000 0.5000 0.5000
Al1 0.2500 0.2500 0.2500
Zn1 0.7500 0.7500 0.7500

# 3
First-principles (PBE) data for a relaxed structure of Cr2RhPb, as listed in the Alexandria database.

Calculated values
Symmetry ... No. 122
ΔE_f ... 0.723 eV per atom
Crystal system ... tetragonal

a b c (Å): 5.8932 5.8932 5.8932
angles (deg): 103.38 103.38 122.49
Positions (direct):
Cr1 0.0857 0.6250 0.9607
Cr2 0.3750 0.3357 0.4607
Cr3 0.6643 0.1250 0.0393
Cr4 0.8750 0.9143 0.5393
Rh1 0.0000 0.0000 0.0000
Rh2 0.7500 0.2500 0.5000
Pb1 0.2500 0.7500 0.5000
Pb2 0.5000 0.5000 0.0000

# 4
First-principles (PBE) data for a relaxed structure of FeCoMo2, as listed in the Alexandria database.

Calculated values
ΔE to the lowest computed polymorph ... 0.041 eV/atom
Symmetry ... No. 99
ΔE_f ... 0.128 eV per atom
Crystal system ... tetragonal

a b c (Å): 2.6403 2.6403 7.7706
angles (deg): 90.00 90.00 90.00
Positions (direct):
Fe1 0.0000 0.0000 0.0000
Co1 0.5000 0.5000 0.7937
Mo1 0.0000 0.0000 0.5573
Mo2 0.5000 0.5000 0.2579

# 5
First-principles (PBE) data for a relaxed structure of NiSbOs2, as listed in the Alexandria database.

Calculated values
Symmetry ... No. 166
Formation energy (no corrections) ... 732 meV/atom
Crystal system ... trigonal

a b c (Å): 8.3186 8.3186 8.3186
angles (deg): 20.54 20.54 20.54
Positions (direct):
Ni1 0.0000 0.0000 0.0000
Sb1 0.5000 0.5000 0.5000
Os1 0.2536 0.2536 0.2536
Os2 0.7464 0.7464 0.7464

# 6
First-principles (PBE) data for a relaxed structure of Pr6AgCl8, as listed in the Alexandria database.

Calculated values
Symmetry ... No. 148
Formation energy (no corrections) ... -1586 meV/atom
Crystal system ... trigonal

a b c (Å): 11.2023 11.2023 11.2023
angles (deg): 36.74 36.74 36.74
Positions (direct):
Pr1 0.1049 0.4447 0.7826
Pr2 0.2174 0.8951 0.5553
Pr3 0.4447 0.7826 0.1049
Pr4 0.5553 0.2174 0.8951
Pr5 0.7826 0.1049 0.4447
Pr6 0.8951 0.5553 0.2174
Ag1 0.5000 0.5000 0.5000
Cl1 0.0675 0.7129 0.3892
Cl2 0.1665 0.1665 0.1665
Cl3 0.2871 0.6108 0.9325
Cl4 0.3892 0.0675 0.7129
Cl5 0.6108 0.9325 0.2871
Cl6 0.7129 0.3892 0.0675
Cl7 0.8335 0.8335 0.8335
Cl8 0.9325 0.2871 0.6108

# 7
First-principles (PBE) data for a relaxed structure of VHg3Au, as listed in the Alexandria database.

Calculated values
ΔE to the lowest computed polymorph ... 0.000 eV/atom
Symmetry ... No. 221
ΔE_f ... 0.743 eV per atom
Crystal system ... cubic

a b c (Å): 5.3356 5.3356 5.3356
angles (deg): 90.00 90.00 90.00
Positions (direct):
V1 0.0000 0.0000 0.0000
Hg1 0.0000 0.0000 0.5000
Hg2 0.0000 0.5000 0.0000
Hg3 0.5000 0.0000 0.0000
Au1 0.5000 0.5000 0.5000

# 8
First-principles (PBE) data for a relaxed structure of Dy3NpRu8, as listed in the Alexandria database.

Calculated values
Symmetry ... No. 160
ΔE_f ... -0.214 eV per atom
Crystal system ... trigonal

a b c (Å): 9.2399 9.2399 9.2399
angles (deg): 33.46 33.46 33.46
Positions (direct):
Dy1 0.0000 0.0000 0.0000
Dy2 0.1246 0.1246 0.1246
Dy3 0.6249 0.6249 0.6249
Np1 0.4997 0.4997 0.4997
Ru1 0.0622 0.0622 0.5611
Ru2 0.0622 0.5611 0.0622
Ru3 0.0641 0.5623 0.5623
Ru4 0.3123 0.3123 0.3123
Ru5 0.5611 0.0622 0.0622
Ru6 0.5623 0.0641 0.5623
Ru7 0.5623 0.5623 0.0641
Ru8 0.8125 0.8125 0.8125

# 9
First-principles (PBE) data for a relaxed structure of Ce3Cu2Ge2, as listed in the Alexandria database.

Calculated values
Symmetry ... No. 71
ΔE_f ... -0.496 eV per atom
Crystal system ... orthorhombic

a b c (Å): 9.6707 9.6707 9.6707
angles (deg): 155.67 155.06 35.12
Positions (direct):
Ce1 0.0000 0.0000 0.0000
Ce2 0.3120 0.8120 0.5000
Ce3 0.6880 0.1880 0.5000
Cu1 0.4346 0.4346 0.0000
Cu2 0.5654 0.5654 0.0000
Ge1 0.1396 0.6396 0.5000
Ge2 0.8604 0.3604 0.5000

# 10
First-principles (PBE) data for a relaxed structure of NaCa2Ni2, as listed in the Alexandria database.

Calculated values
ΔE to the lowest computed polymorph ... 0.159 eV/atom
Symmetry ... No. 139
ΔE_f ... 0.196 eV per atom
Crystal system ... tetragonal

a b c (Å): 5.6947 5.6947 5.6947
angles (deg): 123.66 123.66 83.77
Positions (direct):
Na1 0.0000 0.0000 0.0000
Ca1 0.2500 0.7500 0.5000
Ca2 0.7500 0.2500 0.5000
Ni1 0.3646 0.3646 0.0000
Ni2 0.6354 0.6354 0.0000

# 11
First-principles (PBE) data for a relaxed structure of B2Os2Ru, as listed in the Alexandria database.

Calculated values
Symmetry ... No. 127
ΔE_f ... 0.172 eV per atom
Crystal system ... tetragonal

a b c (Å): 6.2889 6.2889 2.7726
angles (deg): 90.00 90.00 90.00
Positions (direct):
B1 0.1495 0.3505 0.0000
B2 0.3505 0.8505 0.0000
B3 0.6495 0.1495 0.0000
B4 0.8505 0.6495 0.0000
Os1 0.1507 0.6507 0.5000
Os2 0.3493 0.1507 0.5000
Os3 0.6507 0.8493 0.5000
Os4 0.8493 0.3493 0.5000
Ru1 0.0000 0.0000 0.0000
Ru2 0.5000 0.5000 0.0000

Values of calculated total energy, in order: -43.17 -17.41 -54.83 -36.72 -29.43 -70.09 -9.59 -103.52 -38.70 -15.91 -88.46, all in eV/cell.